First-principles (PBE) data for a geometry-optimized CoTc4Pb structure, as listed in the Alexandria database.

Results
energy	-48.1	eV per formula unit
energy relative to the elements	0.689	eV per atom
M_tot	2.6	μB/f.u.

Unit cell a=7.336 b=7.336 c=7.336 alpha=90.00 beta=90.00 gamma=90.00
Space group F-43m (No. 216)
Unique sites:
1 Co 0.000 0.000 0.000 [4 per cell]
2 Tc 0.125 0.125 0.375 [16 per cell]
3 Pb 0.250 0.250 0.750 [4 per cell]